(1)
Computed, not measured: a geometry-optimized PaAl5Co structure at the PBE-GGA level of DFT.

abc: 4.239 4.239 6.878
angles: 90.00 90.00 90.00
Fractional positions:
1 Pa 0.000 0.000 0.000
2 Al 0.000 0.500 0.311
3 Al 0.000 0.500 0.689
4 Al 0.500 0.000 0.311
5 Al 0.500 0.000 0.689
6 Al 0.500 0.500 0.000
7 Co 0.000 0.000 0.500

* crystal system: tetragonal
* SG: No. 123
* E: -5.426 eV per atom

(2)
Computed, not measured: a geometry-optimized LuAlAsO structure at the PBE-GGA level of DFT.

abc: 4.051 4.051 9.616
angles: 90.00 90.00 90.00
Fractional positions:
1 Lu 0.250 0.750 0.000
2 Lu 0.750 0.250 0.000
3 Al 0.250 0.250 0.446
4 Al 0.750 0.750 0.554
5 As 0.250 0.250 0.196
6 As 0.750 0.750 0.804
7 O 0.250 0.750 0.500
8 O 0.750 0.250 0.500

* crystal system: tetragonal
* SG: No. 129
* energy above the lowest structure with this stoichiometry: 667 meV per atom
* E: -5.474 eV per atom